#i
The following is a GGA-PBE calculation of a geometry-optimized TeMoIr2 structure, from Alexandria.

```
TeMoIr2
1.0
-1.015 6.059 -7.068
-2.801 3.933 -8.024
-3.801 5.957 -6.145
Mo Ir Te
1 2 1
Cartesian
-5.713 11.962 -15.927
-0.056 0.117 -0.155
-3.753 7.858 -10.463
-1.904 3.987 -5.309
```

Values from the calculation:
* symmetry: R-3m, No. 166
* DOS(E_F): 2.2 states/eV/f.u.

***

#ii
The following is a GGA-PBE calculation of a geometry-optimized TeMoIr2 structure, from Alexandria.

```
TeMoIr2
1.0
5.965 0.000 0.000
0.000 5.965 0.000
2.983 2.983 5.432
Te Ir Mo
2 4 2
Cartesian
0.000 0.000 0.000
5.965 2.983 2.716
4.344 1.491 1.358
1.622 4.474 1.358
7.457 7.326 4.074
4.474 4.604 4.074
2.983 2.983 0.000
2.983 5.965 2.716
```

Values from the calculation:
* symmetry: I-42d, No. 122
* DOS(E_F): 3.7 states/eV/f.u.

***

#iii
The following is a GGA-PBE calculation of a geometry-optimized TeMoIr2 structure, from Alexandria.

```
TeMoIr2
1.0
-0.799 0.467 -4.695
-1.636 -2.268 -3.884
-4.851 1.518 0.109
Mo Ir Te
1 2 1
Cartesian
-3.833 -0.061 -4.157
-4.781 1.481 0.058
-5.404 -0.240 -6.381
-1.764 -0.088 -2.116
```

Values from the calculation:
* symmetry: Cm, No. 8
* DOS(E_F): 3.5 states/eV/f.u.

***

#iv
The following is a GGA-PBE calculation of a geometry-optimized TeMoIr2 structure, from Alexandria.

```
TeMoIr2
1.0
-0.395 -1.394 2.656
-1.004 -2.463 -1.442
6.918 -2.618 -0.345
Ir Mo Te
2 1 1
Cartesian
6.899 -2.611 -0.344
1.151 -2.628 0.515
3.303 -1.250 -0.165
4.543 -3.912 0.346
```

Values from the calculation:
* symmetry: P4mm, No. 99
* DOS(E_F): 3.4 states/eV/f.u.

***

Stability summary: most stable #iii, least stable #ii.

***

#i
The following is a GGA-PBE calculation of a geometry-optimized TeMo2Ir structure, from Alexandria.

```
TeMo2Ir
1.0
0.000 3.221 3.221
3.221 0.000 3.221
3.221 3.221 0.000
Ir Mo Te
1 2 1
Cartesian
3.221 3.221 3.221
4.832 4.832 4.832
1.611 1.611 1.611
0.000 0.000 0.000
```

Values from the calculation:
* symmetry: Fm-3m, No. 225
* DOS(E_F): 3.0 states/eV/f.u.

***

#ii
The following is a GGA-PBE calculation of a geometry-optimized TeMo2Ir structure, from Alexandria.

```
TeMo2Ir
1.0
-8.824 -0.291 0.534
-8.090 -1.294 3.333
-8.223 1.714 2.771
Mo Ir Te
2 1 1
Cartesian
-25.115 0.129 6.633
-6.409 0.033 1.693
-18.693 0.096 4.937
-12.622 0.065 3.334
```

Values from the calculation:
* symmetry: R3m, No. 160
* DOS(E_F): 1.7 states/eV/f.u.

***

#iii
The following is a GGA-PBE calculation of a geometry-optimized TeMo2Ir structure, from Alexandria.

```
TeMo2Ir
1.0
5.018 -0.009 0.006
4.081 2.920 0.006
1.377 0.441 4.597
Mo Ir Te
2 1 1
Cartesian
7.836 2.506 3.279
9.086 2.906 0.312
2.556 0.818 0.871
5.338 1.707 2.463
```

Values from the calculation:
* symmetry: Cm, No. 8
* DOS(E_F): 2.9 states/eV/f.u.

***

Stability summary: most stable #iii, least stable #ii.

***

#i
The following is a GGA-PBE calculation of a geometry-optimized TeMo2Ir structure, from Alexandria.

```
TeMo2Ir
1.0
-2.430 -3.273 0.694
2.105 -1.203 1.696
-0.804 1.796 5.656
Ir Mo Te
1 2 1
Cartesian
-0.239 -1.191 5.861
0.405 0.478 3.673
-0.558 1.615 5.658
-0.890 -1.488 2.185
```

Values from the calculation:
* symmetry: P2/m, No. 10
* DOS(E_F): 3.7 states/eV/f.u.

***

#ii
The following is a GGA-PBE calculation of a geometry-optimized TeMo2Ir structure, from Alexandria.

```
TeMo2Ir
1.0
3.105 0.000 0.000
0.000 3.105 0.000
0.000 0.000 6.925
Te Mo Ir
1 2 1
Cartesian
1.552 1.552 1.731
0.000 0.000 6.911
0.000 0.000 3.477
1.552 1.552 5.194
```

Values from the calculation:
* symmetry: P4/mmm, No. 123
* DOS(E_F): 3.1 states/eV/f.u.

***

Stability summary: most stable #ii, least stable #i.

***

#i
The following is a GGA-PBE calculation of a geometry-optimized TeMo2Ir structure, from Alexandria.

```
TeMo2Ir
1.0
5.869 0.000 0.000
0.000 5.869 0.000
2.934 2.934 5.847
Te Mo Ir
2 4 2
Cartesian
2.934 5.869 2.924
2.934 2.934 0.000
4.617 1.467 1.462
4.402 4.186 4.385
7.336 7.552 4.385
1.251 4.402 1.462
5.869 2.934 2.924
0.000 0.000 0.000
```

Values from the calculation:
* symmetry: I-42d, No. 122
* DOS(E_F): 4.3 states/eV/f.u.

***

#ii
The following is a GGA-PBE calculation of a geometry-optimized TeMo2Ir structure, from Alexandria.

```
TeMo2Ir
1.0
4.617 0.000 0.000
0.000 3.835 0.000
0.000 0.000 3.835
Ir Mo Te
1 2 1
Cartesian
2.308 0.000 1.917
0.000 1.917 1.917
0.000 0.000 0.000
2.308 1.917 0.000
```

Values from the calculation:
* symmetry: P4/mmm, No. 123
* DOS(E_F): 4.1 states/eV/f.u.

***

Stability summary: most stable #ii, least stable #i.

***

#i
The following is a GGA-PBE calculation of a geometry-optimized TeMo2Ir structure, from Alexandria.

```
TeMo2Ir
1.0
3.356 0.000 0.000
0.000 3.356 0.000
0.000 0.000 6.271
Mo Te Ir
2 1 1
Cartesian
1.678 1.678 1.520
0.000 0.000 6.124
0.000 0.000 3.017
1.678 1.678 5.018
```

Values from the calculation:
* symmetry: P4mm, No. 99
* DOS(E_F): 3.1 states/eV/f.u.

***

#ii
The following is a GGA-PBE calculation of a geometry-optimized TeMo2Ir structure, from Alexandria.

```
TeMo2Ir
1.0
5.345 0.006 0.002
2.419 4.766 -0.002
-3.388 -3.189 2.630
Mo Ir Te
2 1 1
Cartesian
0.009 0.005 0.000
2.804 -0.469 1.316
1.585 2.061 1.314
3.859 2.372 0.000
```

Values from the calculation:
* symmetry: Imm2, No. 44
* DOS(E_F): 4.6 states/eV/f.u.

***

Stability summary: most stable #i, least stable #ii.

***

#i
The following is a GGA-PBE calculation of a geometry-optimized TeMo2Ir structure, from Alexandria.

```
TeMo2Ir
1.0
8.947 0.010 0.006
8.445 2.955 0.006
8.445 1.440 2.580
Mo Te Ir
2 1 1
Cartesian
0.037 0.006 0.004
12.882 2.196 1.292
6.459 1.101 0.648
19.378 3.304 1.944
```

Values from the calculation:
* symmetry: R-3m, No. 166
* DOS(E_F): 2.3 states/eV/f.u.

***

#ii
The following is a GGA-PBE calculation of a geometry-optimized TeMo2Ir structure, from Alexandria.

```
TeMo2Ir
1.0
4.998 -0.003 0.000
1.752 4.681 0.000
-3.375 -2.339 2.849
Ir Mo Te
1 2 1
Cartesian
2.499 -0.002 1.425
0.000 0.000 0.000
0.876 2.340 1.425
3.375 2.339 0.000
```

Values from the calculation:
* symmetry: I-4m2, No. 119
* DOS(E_F): 5.4 states/eV/f.u.

***

#iii
The following is a GGA-PBE calculation of a geometry-optimized TeMo2Ir structure, from Alexandria.

```
TeMo2Ir
1.0
-1.771 -3.556 -3.101
4.641 1.709 -0.969
1.143 -2.105 1.761
Te Mo Ir
1 2 1
Cartesian
-0.314 -2.830 -0.670
0.000 0.000 0.000
1.435 -0.924 -2.035
2.892 -0.198 0.396
```

Values from the calculation:
* symmetry: Cmmm, No. 65
* DOS(E_F): 4.1 states/eV/f.u.

***

Stability summary: most stable #i, least stable #iii.

***

#i
The following is a GGA-PBE calculation of a geometry-optimized TeMoIr3 structure, from Alexandria.

```
TeMoIr3
1.0
-2.457 3.482 -2.119
0.684 -2.087 -4.223
-4.018 -2.485 0.577
Ir Te Mo
3 1 1
Cartesian
-2.009 -1.242 0.288
-1.229 1.741 -1.059
0.342 -1.043 -2.111
-2.896 -0.545 -2.882
0.000 0.000 0.000
```

Values from the calculation:
* symmetry: Pm-3m, No. 221
* DOS(E_F): 4.9 states/eV/f.u.

***

#ii
The following is a GGA-PBE calculation of a geometry-optimized TeMoIr3 structure, from Alexandria.

```
TeMoIr3
1.0
4.771 0.000 0.000
0.000 4.771 0.000
0.000 0.000 4.771
Ir Mo Te
3 1 1
Cartesian
0.000 0.000 2.386
2.386 0.000 0.000
0.000 2.386 0.000
2.386 2.386 2.386
0.000 0.000 0.000
```

Values from the calculation:
* symmetry: Pm-3m, No. 221
* DOS(E_F): 10.1 states/eV/f.u.

***

Stability summary: most stable #i, least stable #ii.

***

#i
The following is a GGA-PBE calculation of a geometry-optimized Ti3MoIr structure, from Alexandria.

```
Ti3MoIr
1.0
4.229 0.000 -1.347
0.000 4.450 0.000
0.283 0.000 8.202
Ti Mo Ir
6 2 2
Cartesian
1.981 3.758 0.960
3.456 1.532 5.598
2.531 1.533 2.699
4.098 1.533 0.304
0.414 3.758 3.356
1.338 3.757 6.265
0.857 1.532 4.748
3.655 3.758 -1.088
2.974 3.757 4.082
1.538 1.533 -0.422
```

Values from the calculation:
* symmetry: Cmcm, No. 63
* DOS(E_F): 6.3 states/eV/f.u.

***

#ii
The following is a GGA-PBE calculation of a geometry-optimized Ti3MoIr structure, from Alexandria.

```
Ti3MoIr
1.0
4.673 0.000 0.000
0.000 4.673 0.000
0.000 0.000 4.673
Ti Ir Mo
3 1 1
Cartesian
2.337 0.000 0.000
0.000 0.000 2.337
0.000 2.337 0.000
0.000 0.000 0.000
2.337 2.337 2.337
```

Values from the calculation:
* symmetry: Pm-3m, No. 221
* DOS(E_F): 9.9 states/eV/f.u.

***

Stability summary: most stable #i, least stable #ii.

***

#i
The following is a GGA-PBE calculation of a geometry-optimized TiMo2Ir2 structure, from Alexandria.

```
TiMo2Ir2
1.0
-1.178 2.784 -2.506
-0.820 -2.755 -2.675
-6.324 -0.392 -0.540
Mo Ti Ir
2 1 2
Cartesian
-6.202 -0.292 -3.562
-2.119 -0.071 -2.159
0.000 0.000 0.000
-4.250 1.203 -2.818
-4.071 -1.566 -2.903
```

Values from the calculation:
* symmetry: I4/mmm, No. 139
* DOS(E_F): 4.0 states/eV/f.u.

***

#ii
The following is a GGA-PBE calculation of a geometry-optimized TiMo2Ir2 structure, from Alexandria.

```
TiMo2Ir2
1.0
-2.037 -0.279 7.314
-5.281 -5.199 -1.669
1.869 -2.041 0.443
Ir Mo Ti
4 4 2
Cartesian
-5.368 -4.641 1.269
-1.950 -0.837 4.376
-5.091 -3.505 5.335
-2.228 -1.973 0.309
-2.953 -4.554 0.349
-4.813 -5.521 3.740
-2.496 -2.965 5.739
-0.637 -1.998 2.348
-3.659 -2.739 2.822
0.000 0.000 0.000
```

Values from the calculation:
* symmetry: P4/mbm, No. 127
* DOS(E_F): 4.1 states/eV/f.u.

***

#iii
The following is a GGA-PBE calculation of a geometry-optimized TiMo2Ir2 structure, from Alexandria.

```
TiMo2Ir2
1.0
7.670 0.000 0.000
0.000 7.670 0.000
0.000 0.000 2.761
Ti Ir Mo
2 4 4
Cartesian
3.835 3.835 0.000
0.000 0.000 0.000
2.505 1.330 1.381
5.165 6.340 1.381
6.340 2.505 1.381
1.330 5.165 1.381
0.933 2.902 0.000
2.902 6.737 0.000
6.737 4.768 0.000
4.768 0.933 0.000
```

Values from the calculation:
* symmetry: P4/mbm, No. 127
* DOS(E_F): 5.3 states/eV/f.u.

***

Stability summary: most stable #ii, least stable #i.

***

#i
The following is a GGA-PBE calculation of a geometry-optimized Tl2MoIr structure, from Alexandria.

```
Tl2MoIr
1.0
-3.060 0.879 -3.686
-2.813 -2.146 -3.347
-4.802 -0.092 2.671
Ir Mo Tl
1 1 2
Cartesian
-8.006 -1.020 -3.272
-2.669 -0.340 -1.091
-4.797 -0.095 2.649
-5.342 -0.678 -2.160
```

Values from the calculation:
* symmetry: C2/m, No. 12
* DOS(E_F): 3.9 states/eV/f.u.

***

#ii
The following is a GGA-PBE calculation of a geometry-optimized Tl2MoIr structure, from Alexandria.

```
Tl2MoIr
1.0
-4.515 -1.364 -0.961
-1.127 -1.689 -4.364
-1.033 -4.665 -0.582
Mo Tl Ir
1 2 1
Cartesian
-5.006 -5.788 -4.430
-1.669 -1.929 -1.477
0.000 0.000 0.000
-3.337 -3.859 -2.953
```

Values from the calculation:
* symmetry: F-43m, No. 216
* DOS(E_F): 4.4 states/eV/f.u.

***

Stability summary: most stable #i, least stable #ii.

***

#i
The following is a GGA-PBE calculation of a geometry-optimized Tl2MoIr structure, from Alexandria.

```
Tl2MoIr
1.0
3.095 0.000 0.000
0.000 2.997 0.000
0.000 1.491 8.935
Tl Mo Ir
2 1 1
Cartesian
0.000 2.054 8.573
1.548 0.559 2.590
1.548 3.554 6.341
0.000 2.055 4.834
```

Values from the calculation:
* symmetry: Amm2, No. 38
* DOS(E_F): 2.6 states/eV/f.u.

***

#ii
The following is a GGA-PBE calculation of a geometry-optimized Tl2MoIr structure, from Alexandria.

```
Tl2MoIr
1.0
4.662 0.000 0.000
0.000 3.021 -0.002
0.000 0.191 5.485
Tl Ir Mo
2 1 1
Cartesian
0.000 0.111 0.009
0.000 1.495 2.733
2.331 0.803 1.371
2.331 2.409 4.112
```

Values from the calculation:
* symmetry: P2/m, No. 10
* DOS(E_F): 3.2 states/eV/f.u.

***

Stability summary: most stable #i, least stable #ii.

***

#i
The following is a GGA-PBE calculation of a geometry-optimized Tl2MoIr structure, from Alexandria.

```
Tl2MoIr
1.0
9.300 -0.012 -0.007
8.785 3.052 -0.007
8.785 1.477 2.671
Ir Tl Mo
1 2 1
Cartesian
6.718 1.129 0.664
26.809 4.506 2.651
13.496 2.268 1.334
20.153 3.387 1.992
```

Values from the calculation:
* symmetry: R-3m, No. 166
* DOS(E_F): 3.0 states/eV/f.u.

***

#ii
The following is a GGA-PBE calculation of a geometry-optimized Tl2MoIr structure, from Alexandria.

```
Tl2MoIr
1.0
-2.545 1.699 0.096
0.129 -2.572 1.655
3.529 4.875 7.301
Ir Mo Tl
1 1 2
Cartesian
-0.326 0.782 2.701
1.438 3.220 6.352
1.745 2.411 3.610
0.020 0.027 0.040
```

Values from the calculation:
* symmetry: Cmmm, No. 65
* DOS(E_F): 2.9 states/eV/f.u.

***

Stability summary: most stable #i, least stable #ii.